No. 1
16
Lattice="6.228 0.000 0.000 0.000 6.228 0.000 0.000 0.000 6.228" Properties=species:S:1:pos:R:3 comment="PBE-GGA LuFeSiNi, relaxed" dft_energy_ev_per_cell=-95.4 space_group="No. 216" polymorph_energy_mev_per_atom=324 total_magnetization_mub_per_fu=3.04 crystal_system=cubic pbc="T T T"
Lu 0.000 0.000 0.000
Lu 0.000 3.114 3.114
Lu 3.114 0.000 3.114
Lu 3.114 3.114 0.000
Fe 1.557 1.557 4.671
Fe 1.557 4.671 1.557
Fe 4.671 1.557 1.557
Fe 4.671 4.671 4.671
Si 1.557 1.557 1.557
Si 1.557 4.671 4.671
Si 4.671 1.557 4.671
Si 4.671 4.671 1.557
Ni 0.000 0.000 3.114
Ni 0.000 3.114 0.000
Ni 3.114 0.000 0.000
Ni 3.114 3.114 3.114

***

No. 2
29
Lattice="-5.128 5.128 5.128 5.128 -5.128 5.128 5.128 5.128 -5.128" Properties=species:S:1:pos:R:3 comment="PBE-GGA Ta28W, relaxed" dft_energy_ev_per_cell=-341.4 formation_enthalpy_0k_ev_per_atom=0.1171 space_group="No. 217" total_magnetization_mub_per_fu=0.01 crystal_system=cubic pbc="T T T"
Ta 3.204 3.204 -3.204
Ta 2.852 0.936 -0.936
Ta 2.852 -0.936 0.936
Ta 5.512 1.441 -1.441
Ta 3.204 -3.204 3.204
Ta 5.512 -1.441 1.441
Ta 7.404 0.936 0.936
Ta 0.936 2.852 -0.936
Ta 0.936 -0.936 2.852
Ta 4.745 1.441 1.441
Ta 3.687 3.687 -0.384
Ta 3.687 -0.384 3.687
Ta -0.936 2.852 0.936
Ta -0.936 0.936 2.852
Ta 1.924 1.924 1.924
Ta 1.441 5.512 -1.441
Ta 1.441 -1.441 5.512
Ta 1.441 4.745 1.441
Ta 1.441 1.441 4.745
Ta -3.204 3.204 3.204
Ta 4.193 4.193 2.276
Ta 4.193 2.276 4.193
Ta -1.441 5.512 1.441
Ta -1.441 1.441 5.512
Ta -0.384 3.687 3.687
Ta 0.936 7.404 0.936
Ta 0.936 0.936 7.404
Ta 2.276 4.193 4.193
W 0.000 0.000 0.000

***

No. 3
24
Lattice="10.865 0.000 0.000 0.000 4.076 0.000 0.000 0.000 14.592" Properties=species:S:1:pos:R:3 comment="PBE-GGA ErZnInSe3, relaxed" dft_energy_ev_per_cell=-101.8 space_group="No. 62" polymorph_energy_mev_per_atom=0 total_magnetization_mub_per_fu=0.00 crystal_system=orthorhombic pbc="T T T"
Er 0.163 1.019 3.561
Er 5.269 3.057 10.857
Er 5.596 1.019 3.735
Er 10.702 3.057 11.032
Zn 2.576 1.019 10.406
Zn 2.856 3.057 3.110
Zn 8.009 1.019 11.483
Zn 8.289 3.057 4.187
In 2.424 3.057 7.313
In 3.009 1.019 0.016
In 7.857 3.057 14.576
In 8.441 1.019 7.280
Se 0.475 1.019 9.115
Se 0.851 3.057 1.697
Se 2.581 3.057 11.937
Se 2.851 1.019 4.641
Se 4.581 1.019 8.994
Se 4.957 3.057 1.819
Se 5.908 1.019 12.774
Se 6.284 3.057 5.599
Se 8.014 3.057 9.951
Se 8.284 1.019 2.655
Se 10.014 1.019 12.895
Se 10.390 3.057 5.477

***

No. 4
8
Lattice="5.672 0.000 0.000 0.000 3.816 0.000 -0.005 0.000 7.861" Properties=species:S:1:pos:R:3 comment="PBE-GGA DyErSi2, relaxed" dft_energy_ev_per_cell=-46.7 space_group="No. 11" polymorph_energy_mev_per_atom=0 total_magnetization_mub_per_fu=0.01 crystal_system=monoclinic pbc="T T T"
Dy 0.651 0.954 1.408
Dy 5.016 2.862 6.453
Er 2.180 0.954 5.338
Er 3.487 2.862 2.523
Si 0.731 2.862 3.632
Si 2.099 2.862 7.560
Si 3.568 0.954 0.301
Si 4.936 0.954 4.229

***

No. 5
8
Lattice="4.307 0.000 0.000 0.000 7.620 0.000 0.000 0.000 6.113" Properties=species:S:1:pos:R:3 comment="PBE-GGA NdYAsO, relaxed" dft_energy_ev_per_cell=-57.4 space_group="No. 26" polymorph_energy_mev_per_atom=0 total_magnetization_mub_per_fu=0.02 crystal_system=orthorhombic pbc="T T T"
Nd 0.000 1.551 0.000
Nd 0.000 6.069 3.057
Y 2.153 2.982 3.555
Y 2.153 4.639 0.498
As 0.000 1.339 3.011
As 0.000 6.282 6.068
O 2.153 2.563 5.736
O 2.153 5.058 2.679